Cs2TiAuF6: optimized geometry, PBE.

Lattice parameters (Å, degrees): 6.8065 6.8065 6.7962 59.95 59.95 90.00
Last column: nearest neighbours and their distance in Å.
Atoms (fractional coordinates):
Cs 0.7500 0.2500 0.5000  12 F 3.44
Cs 0.2500 0.7500 0.5000  12 F 3.44
F 0.3025 0.3025 0.3951  1 Ti 1.90
F 0.6975 0.6975 0.6049  1 Ti 1.90
F 0.3030 0.3030 0.0000  1 Ti 1.90
F 0.6970 0.6970 0.0000  1 Ti 1.90
F 0.6970 0.3030 0.0000  1 Ti 1.90
F 0.3030 0.6970 0.0000  1 Ti 1.90
Au 0.0000 0.0000 0.0000  6 F 2.90-2.92
Ti 0.5000 0.5000 0.0000  6 F 1.90

Computed properties:
The total energy comes out at -5.0516 eV/atom. For the spin magnetization, the calculation gives 1.0 μB per cell. The uncorrected formation energy comes out at -2.64 eV/atom.